GGA-PBE K3Nd3SiO8, relaxed; magnetic moment = 0.000 μB per atom; formation energy without anion corrections = -2.475 eV/atom
1.0
3.4501 1.9919 6.3087
-3.4501 1.9919 6.3087
0.0000 -3.9838 6.3087
K Nd Si O
3 3 1 8
Direct
0.0000 0.5000 0.5000
0.5000 0.0000 0.5000
0.5000 0.5000 0.0000
0.0000 0.0000 0.5000
0.0000 0.5000 0.0000
0.5000 0.0000 0.0000
0.5000 0.5000 0.5000
0.2312 0.2312 0.2312
0.2842 0.6900 0.6900
0.3100 0.3100 0.7158
0.3100 0.7158 0.3100
0.6900 0.2842 0.6900
0.6900 0.6900 0.2842
0.7158 0.3100 0.3100
0.7688 0.7688 0.7688

***

GGA-PBE Mg3CuB, relaxed; DOS(E_F) = 2.30 states/eV/f.u.; energy of formation = 4.71 eV/f.u.; magnetic moment = 0.000 μB per atom; energy relative to the lowest polymorph listed for this composition = 655 meV per atom
1.0
4.7807 0.0000 0.0000
0.0000 4.7807 0.0000
0.0000 0.0000 4.7807
Mg Cu B
3 1 1
Direct
0.0000 0.0000 0.5000
0.0000 0.5000 0.0000
0.5000 0.0000 0.0000
0.0000 0.0000 0.0000
0.5000 0.5000 0.5000

***

GGA-PBE NaHf2Al2, relaxed; DOS(E_F) = 4.63 states/eV/f.u.; energy of formation = 0.03 eV/f.u.; magnetic moment = 0.000 μB per atom; energy relative to the lowest polymorph listed for this composition = 0 meV per atom
1.0
8.5846 0.0000 0.0000
0.0000 8.5846 0.0000
0.0000 0.0000 2.9719
Na Hf Al
2 4 4
Direct
0.0000 0.0000 0.0000
0.5000 0.5000 0.0000
0.1282 0.3718 0.5000
0.3718 0.8718 0.5000
0.6282 0.1282 0.5000
0.8718 0.6282 0.5000
0.1666 0.6666 0.0000
0.3334 0.1666 0.0000
0.6666 0.8334 0.0000
0.8334 0.3334 0.0000

***

GGA-PBE Np4HgPd15, relaxed; DOS(E_F) = 51.28 states/eV/f.u.; energy of formation = -7.90 eV/f.u.; magnetic moment = 0.656 μB per atom
1.0
4.1359 0.0000 0.0000
0.0000 4.1359 0.0000
0.0000 0.0000 20.5281
Np Hg Pd
4 1 15
Direct
0.0000 0.0000 0.1015
0.0000 0.0000 0.3052
0.0000 0.0000 0.6948
0.0000 0.0000 0.8985
0.0000 0.0000 0.5000
0.0000 0.5000 0.0000
0.0000 0.5000 0.2022
0.0000 0.5000 0.3995
0.0000 0.5000 0.6005
0.0000 0.5000 0.7978
0.5000 0.0000 0.0000
0.5000 0.0000 0.2022
0.5000 0.0000 0.3995
0.5000 0.0000 0.6005
0.5000 0.0000 0.7978
0.5000 0.5000 0.1009
0.5000 0.5000 0.3008
0.5000 0.5000 0.5000
0.5000 0.5000 0.6992
0.5000 0.5000 0.8991

***

GGA-PBE Ca3Cd5Hg2, relaxed; DOS(E_F) = 5.13 states/eV/f.u.; energy of formation = -3.30 eV/f.u.; magnetic moment = 0.000 μB per atom
1.0
7.4639 -4.6543 0.0000
7.4639 4.6543 0.0000
-5.2546 0.0000 7.4631
Ca Cd Hg
6 10 4
Direct
0.1042 0.6270 0.2577
0.1477 0.8523 0.7500
0.3730 0.8958 0.2423
0.6270 0.1042 0.7577
0.8523 0.1477 0.2500
0.8958 0.3730 0.7423
0.1727 0.3581 0.4898
0.2688 0.4944 0.8960
0.3581 0.1727 0.9898
0.4854 0.5146 0.7500
0.4944 0.2688 0.3960
0.5056 0.7312 0.6040
0.5146 0.4854 0.2500
0.6419 0.8273 0.0102
0.7312 0.5056 0.1040
0.8273 0.6419 0.5102
0.0508 0.1997 0.0664
0.1997 0.0508 0.5664
0.8003 0.9492 0.4336
0.9492 0.8003 0.9336

***

GGA-PBE Mn2InAgS4, relaxed; magnetic moment = 1.250 μB per atom; formation energy without anion corrections = -0.485 eV/atom
1.0
-2.8833 2.8833 5.6427
2.8833 -2.8833 5.6427
2.8833 2.8833 -5.6427
Mn In Ag S
2 1 1 4
Direct
0.2500 0.7500 0.5000
0.7500 0.2500 0.5000
0.0000 0.0000 0.0000
0.5000 0.5000 0.0000
0.1114 0.6219 0.0000
0.3781 0.3781 0.4894
0.6219 0.1114 0.0000
0.8886 0.8886 0.5106

***

GGA-PBE Ba2CaZr, relaxed; DOS(E_F) = 6.81 states/eV/f.u.; energy of formation = 2.10 eV/f.u.; magnetic moment = 0.266 μB per atom; energy relative to the lowest polymorph listed for this composition = 123 meV per atom
1.0
-1.9927 3.1866 6.5662
1.9927 -3.1866 6.5662
1.9927 3.1866 -6.5662
Ba Ca Zr
2 1 1
Direct
0.2179 0.2179 0.0000
0.7821 0.7821 0.0000
0.5000 0.0000 0.5000
0.0000 0.5000 0.5000

***

GGA-PBE Cu7Ru, relaxed; DOS(E_F) = 7.32 states/eV/f.u.; energy of formation = 1.16 eV/f.u.; magnetic moment = 0.000 μB per atom
1.0
0.0000 3.6659 3.6659
3.6659 0.0000 3.6659
3.6659 3.6659 0.0000
Cu Ru
7 1
Direct
0.0000 0.0000 0.0000
0.0000 0.0000 0.5000
0.0000 0.5000 0.0000
0.0000 0.5000 0.5000
0.5000 0.0000 0.0000
0.5000 0.0000 0.5000
0.5000 0.5000 0.0000
0.5000 0.5000 0.5000

***

GGA-PBE KCd4Ni, relaxed; DOS(E_F) = 5.60 states/eV/f.u.; energy of formation = 1.66 eV/f.u.; magnetic moment = 0.000 μB per atom
1.0
0.0000 4.1496 4.1496
4.1496 0.0000 4.1496
4.1496 4.1496 0.0000
K Cd Ni
1 4 1
Direct
0.0000 0.0000 0.0000
0.3761 0.3761 0.3761
0.3761 0.3761 0.8716
0.3761 0.8716 0.3761
0.8716 0.3761 0.3761
0.7500 0.7500 0.7500

***

GGA-PBE Sc7CdPd4, relaxed; DOS(E_F) = 11.91 states/eV/f.u.; energy of formation = -5.09 eV/f.u.; magnetic moment = 0.000 μB per atom
1.0
6.5420 -2.6130 0.0000
6.5420 2.6130 0.0000
-5.2011 0.0000 7.3687
Sc Cd Pd
7 1 4
Direct
0.0000 0.0000 0.0000
0.2073 0.2073 0.6565
0.2844 0.2844 0.1157
0.4356 0.4356 0.6176
0.5644 0.5644 0.3824
0.7156 0.7156 0.8843
0.7927 0.7927 0.3435
0.5000 0.5000 0.0000
0.0624 0.0624 0.7636
0.1999 0.1999 0.3461
0.8001 0.8001 0.6539
0.9376 0.9376 0.2364

***

GGA-PBE Ca4TaAs, relaxed; DOS(E_F) = 4.66 states/eV/f.u.; energy of formation = 4.90 eV/f.u.; magnetic moment = 0.662 μB per atom
1.0
0.0000 4.4684 4.4684
4.4684 0.0000 4.4684
4.4684 4.4684 0.0000
Ca Ta As
4 1 1
Direct
0.1249 0.1249 0.1249
0.1249 0.1249 0.6253
0.1249 0.6253 0.1249
0.6253 0.1249 0.1249
0.7500 0.7500 0.7500
0.5000 0.5000 0.5000

***

GGA-PBE Sc2MnPb, relaxed; DOS(E_F) = 2.58 states/eV/f.u.; energy of formation = -0.43 eV/f.u.; magnetic moment = 0.640 μB per atom
1.0
4.5740 0.0000 0.0000
0.0000 1.6966 5.6100
0.0000 -1.6966 5.6100
Sc Mn Pb
2 1 1
Direct
0.0000 0.0000 0.0000
0.5000 0.3237 0.3237
0.5000 0.5759 0.5759
0.0000 0.7290 0.7290

***

GGA-PBE Al2CuPd2, relaxed; DOS(E_F) = 1.46 states/eV/f.u.; energy of formation = -1.08 eV/f.u.; magnetic moment = 0.000 μB per atom; energy relative to the lowest polymorph listed for this composition = 394 meV per atom
1.0
-1.9335 1.9335 5.6505
1.9335 -1.9335 5.6505
1.9335 1.9335 -5.6505
Al Cu Pd
2 1 2
Direct
0.1107 0.1107 0.0000
0.8893 0.8893 0.0000
0.5000 0.5000 0.0000
0.2500 0.7500 0.5000
0.7500 0.2500 0.5000

***

GGA-PBE K2YNpO4, relaxed; DOS(E_F) = 9.15 states/eV/f.u.; magnetic moment = 0.500 μB per atom; formation energy without anion corrections = -2.459 eV/atom
1.0
6.1081 0.0000 0.0000
0.0000 3.5316 0.0000
-2.0486 0.0000 6.2892
K Y Np O
2 1 1 4
Direct
0.0000 0.0000 0.0000
0.5000 0.5000 0.0000
0.0000 0.5000 0.5000
0.5000 0.0000 0.5000
0.2268 0.0000 0.6873
0.2700 0.5000 0.3123
0.7300 0.5000 0.6877
0.7732 0.0000 0.3127